# 1
DFT (PBE) results for a relaxed structure of PmAl.

CIF file:
```
data_PmAl
_space_group_name_H-M_alt 'F m -3 m'
_space_group_IT_number 225
_space_group_name_Hall '-F 4 2 3'
_cell_length_a 6.176
_cell_length_b 6.176
_cell_length_c 6.176
_cell_angle_alpha 90.00
_cell_angle_beta 90.00
_cell_angle_gamma 90.00
loop_
_atom_site_label
_atom_site_fract_x
_atom_site_fract_y
_atom_site_fract_z
Pm1 0.000 0.000 0.000
Al1 0.000 0.000 0.500
```



# 2
DFT (PBE) results for a relaxed structure of Pr3Mg3Pd2Au.

CIF file:
```
data_Pr3Mg3Pd2Au
_space_group_name_H-M_alt 'A m m 2'
_space_group_IT_number 38
_space_group_name_Hall 'A 2 -2'
_cell_length_a 4.191
_cell_length_b 13.355
_cell_length_c 7.710
_cell_angle_alpha 90.00
_cell_angle_beta 90.00
_cell_angle_gamma 90.00
loop_
_atom_site_label
_atom_site_fract_x
_atom_site_fract_y
_atom_site_fract_z
Pr1 0.000 0.000 0.000
Pr2 0.000 0.208 0.624
Mg1 0.500 0.000 0.659
Mg2 0.500 0.121 0.294
Pd1 0.500 0.166 0.916
Au1 0.000 0.000 0.415
```



Quick rundown of density, same order as above: 4.85 6.97 g cm⁻³
Quick rundown of raw total energy, same order as above: -4.177 -4.268 eV/atom